This record from the Alexandria database describes a relaxed structure of Tl2PtSe. The functional is PBE.

a b c (Å): 6.075 6.075 6.075
angles (deg): 146.98 121.45 68.88
Positions (direct):
Tl 0.007 0.007 0.000
Tl 0.715 0.215 0.500
Se 0.303 0.803 0.500
Pt 0.475 0.475 0.000

Calculated values
**Calculated density**: 11.03 Mg/m³
**Energy**: -3.603 eV/atom
**ΔE_f (raw)**: -38 meV per atom
**Crystal system**: orthorhombic
**Size of the total moment**: 0.000 μB/f.u.
**Energy above the most stable polymorph in this dataset**: 0.117 eV per atom

This record from the Alexandria database describes a relaxed structure of TlPtSe2. The functional is PBE.

a b c (Å): 5.949 5.949 3.014
angles (deg): 81.86 81.86 123.69
Positions (direct):
Se 0.500 0.500 0.000
Se 0.000 0.000 0.000
Pt 0.000 0.500 0.500
Tl 0.500 0.000 0.500

Calculated values
**Calculated density**: 10.93 Mg/m³
**Energy**: -3.448 eV/atom
**ΔE_f (raw)**: 396 meV per atom
**Crystal system**: monoclinic
**Size of the total moment**: 0.000 μB/f.u.
**Energy above the most stable polymorph in this dataset**: 0.702 eV per atom